A plane-wave DFT calculation with PBE with a Hubbard U was carried out for a geometry-optimized Li3MnCoO5 structure.

Summary:
* crystal system: monoclinic
* total DFT energy (no corrections): -5.8926 eV per atom

```
data_Li3MnCoO5
_cell_length_a 12.5971
_cell_length_b 2.9489
_cell_length_c 9.9813
_cell_angle_alpha 90.00
_cell_angle_beta 99.08
_cell_angle_gamma 90.00
_symmetry_space_group_name_H-M 'C 1 2/m 1'
_symmetry_Int_Tables_number 12
_symmetry_space_group_name_Hall '-C 2y'
loop_
_atom_site_label
_atom_site_type_symbol
_atom_site_fract_x
_atom_site_fract_y
_atom_site_fract_z
Li1 Li 0.0000 0.0000 0.0000
Li2 Li 0.0000 0.5000 0.5000
Li3 Li 0.0952 0.0000 0.2810
Li4 Li 0.1894 0.5000 0.0743
Mn1 Mn 0.1968 0.0000 0.6010
Co1 Co 0.0898 0.5000 0.8131
O1 O 0.0474 0.5000 0.1569
O2 O 0.0604 0.0000 0.6486
O3 O 0.1502 0.0000 0.9332
O4 O 0.1614 0.5000 0.4669
O5 O 0.2405 0.5000 0.7216
```